Record 1
Density functional theory data (GGA-PBE) for KMnCl3 after structural relaxation.

Calculated values
Symmetry: R3m (160)
Formation energy from raw total energies, kcal/mol of atoms: -29.46
Calculated volume, Å³ per cell: 264.5

Unit cell a=6.4882 b=6.4882 c=6.4882 alpha=81.28 beta=81.28 gamma=81.28
With the nearest neighbours (Å) after each atom.
Fractional positions:
K (0.0000, 0.0000, 0.0000)  3 Cl 3.08, 1 Mn 3.44
Mn (0.7319, 0.7319, 0.7319)  3 Cl 2.28
Cl (0.4849, 0.9316, 0.9316)  1 Mn 2.28
Cl (0.9316, 0.4849, 0.9316)  1 Mn 2.28
Cl (0.9316, 0.9316, 0.4849)  1 Mn 2.28

=====

Record 2
Density functional theory data (GGA-PBE) for LiIn2Ni4 after structural relaxation.

Calculated values
Symmetry: I4/mmm (139)
Energy of formation, eV/atom: 0.36
Calculated volume, Å³ per cell: 103.7

Unit cell a=7.1533 b=7.1533 c=7.1533 alpha=147.77 beta=147.77 gamma=46.22
With the nearest neighbours (Å) after each atom.
Fractional positions:
Li (0.0000, 0.0000, 0.0000)  6 Ni 1.99-2.18
In (0.3603, 0.3603, 0.0000)  9 Ni 2.57-2.83
In (0.6397, 0.6397, 0.0000)  9 Ni 2.57-2.83
Ni (0.0000, 0.5000, 0.5000)  2 Li 1.99
Ni (0.1653, 0.1653, 0.0000)  1 Li 2.18
Ni (0.5000, 0.0000, 0.5000)  2 Li 1.99
Ni (0.8347, 0.8347, 0.0000)  1 Li 2.18